## ScGa2Pd (PBE-GGA)

Data for a relaxed structure of ScGa2Pd.

Cell lengths 6.483, 6.483, 6.483 Å; angles 90.00, 90.00, 90.00 degrees
Space group F-43m (No. 216)
Unique sites:
Sc 0.000 0.000 0.000 (multiplicity 4)
Ga 0.000 0.000 0.500 (multiplicity 4)
Ga 0.250 0.250 0.750 (multiplicity 4)
Pd 0.250 0.250 0.250 (multiplicity 4)

Properties
- Total energy: -19.94 eV/f.u.